No. 1
Computed, not measured: a relaxed CaAc2Ga4Au3 crystal at the PBE level of DFT.

a b c (Å): 4.4955 4.4955 11.9066
angles (deg): 90.00 90.00 90.00
With the nearest neighbours (Å) after each atom.
Positions (direct):
Au1 0.5000 0.0000 0.8786  5 Ga 2.59-2.67
Ga1 0.0000 0.0000 0.0000  4 Au 2.67
Ca1 0.5000 0.5000 0.5000  4 Ga 2.96, 4 Au 3.18
Au2 0.0000 0.5000 0.1214  5 Ga 2.59-2.67
Ga2 0.5000 0.0000 0.6612  1 Au 2.59
Au3 0.0000 0.0000 0.5000  4 Ga 2.96, 4 Ca 3.18
Ga3 0.5000 0.5000 0.0000  4 Au 2.67
Ac1 0.5000 0.0000 0.2280  4 Au 3.42, 8 Ga 3.44-3.52
Ga4 0.0000 0.5000 0.3388  1 Au 2.59
Ac2 0.0000 0.5000 0.7720  4 Au 3.42, 8 Ga 3.44-3.52

Values from the calculation:
Symmetry ... P-4m2
Total energy ... -38.300 eV for the cell shown
Volume ... 241 Å³/cell
DOS at the Fermi energy ... 5.2 states/eV/cell
Total moment ... 0.0 μB per formula unit

No. 2
Computed, not measured: a relaxed NaThZnIn crystal at the PBE level of DFT.

a b c (Å): 5.2557 5.2557 5.2557
angles (deg): 60.00 60.00 60.00
With the nearest neighbours (Å) after each atom.
Positions (direct):
Na1 0.0000 0.0000 0.0000  4 In 3.22, 4 Zn 3.22
Zn1 0.7500 0.7500 0.7500  4 Na 3.22, 4 Th 3.22
In1 0.2500 0.2500 0.2500  4 Th 3.22, 4 Na 3.22
Th1 0.5000 0.5000 0.5000  4 In 3.22, 4 Zn 3.22

Values from the calculation:
Symmetry ... F-43m
Total energy ... -12.920 eV for the cell shown
Volume ... 103 Å³/cell
DOS at the Fermi energy ... 2.2 states/eV/cell
Total moment ... 0.0 μB per formula unit

No. 3
Computed, not measured: a relaxed Li2BeAg crystal at the PBE level of DFT.

a b c (Å): 4.1344 3.0111 4.3825
angles (deg): 90.00 90.00 90.00
With the nearest neighbours (Å) after each atom.
Positions (direct):
Ag1 0.0000 0.3745 0.6247  4 Be 2.56, 4 Li 2.66
Li1 0.0000 0.8745 0.1246  4 Li 2.56, 4 Ag 2.66
Li2 0.5000 0.3753 0.1254  4 Li 2.56, 4 Be 2.66
Be1 0.5000 0.8757 0.6252  4 Ag 2.56, 4 Li 2.66

Values from the calculation:
Symmetry ... Pmmm
Total energy ... -10.144 eV for the cell shown
Volume ... 55 Å³/cell
DOS at the Fermi energy ... 1.2 states/eV/cell
Total moment ... 0.0 μB per formula unit

No. 4
Computed, not measured: a relaxed Cu2HgSb crystal at the PBE level of DFT.

a b c (Å): 4.1221 3.5578 5.3269
angles (deg): 70.72 90.00 90.00
With the nearest neighbours (Å) after each atom.
Positions (direct):
Sb1 0.5000 0.7655 0.8373  7 Cu 2.80-2.85
Cu1 0.5000 0.0499 0.2782  2 Cu 2.58, 4 Hg 2.81, 3 Sb 2.81-2.85
Hg1 0.0000 0.4831 0.4149  7 Cu 2.79-2.86
Cu2 0.0000 0.2016 0.9696  2 Cu 2.58, 3 Hg 2.79-2.86, 4 Sb 2.80-2.81

Values from the calculation:
Symmetry ... Pm
Total energy ... -12.054 eV for the cell shown
Volume ... 74 Å³/cell
DOS at the Fermi energy ... 1.1 states/eV/cell
Total moment ... 0.0 μB per formula unit

No. 5
Computed, not measured: a relaxed SrZn2Pt crystal at the PBE level of DFT.

a b c (Å): 4.8132 4.8132 9.4606
angles (deg): 75.26 75.26 90.00
With the nearest neighbours (Å) after each atom.
Positions (direct):
Zn1 0.8745 0.1250 0.2500  2 Zn 2.41, 2 Pt 2.51
Zn2 0.8750 0.1245 0.7500  2 Zn 2.41, 2 Pt 2.51
Zn3 0.3750 0.1255 0.7500  2 Zn 2.41, 2 Pt 2.51
Pt1 0.7500 0.2500 0.5000  4 Zn 2.51
Sr1 0.5000 0.5000 0.0000  4 Pt 3.40, 8 Zn 3.48
Sr2 0.2500 0.7500 0.5000  4 Pt 3.40, 8 Zn 3.48
Zn4 0.8755 0.6250 0.2500  2 Zn 2.41, 2 Pt 2.51
Pt2 0.0000 0.0000 0.0000  4 Zn 2.51

Values from the calculation:
Symmetry ... I4_1/amd
Total energy ... -23.789 eV for the cell shown
Volume ... 204 Å³/cell
DOS at the Fermi energy ... 4.5 states/eV/cell
Total moment ... 0.0 μB per formula unit

No. 6
Computed, not measured: a relaxed CaEuCdPt crystal at the PBE level of DFT.

a b c (Å): 5.2180 5.2180 5.2180
angles (deg): 60.00 60.00 60.00
With the nearest neighbours (Å) after each atom.
Positions (direct):
Eu1 0.5000 0.5000 0.5000  4 Pt 3.20, 4 Cd 3.20
Cd1 0.2500 0.2500 0.2500  4 Eu 3.20, 4 Ca 3.20
Ca1 0.0000 0.0000 0.0000  4 Cd 3.20, 4 Pt 3.20
Pt1 0.7500 0.7500 0.7500  4 Ca 3.20, 4 Eu 3.20

Values from the calculation:
Symmetry ... F-43m
Total energy ... -21.551 eV for the cell shown
Volume ... 100 Å³/cell
DOS at the Fermi energy ... 7.8 states/eV/cell
Total moment ... 7.1 μB per formula unit

No. 7
Computed, not measured: a relaxed AlCd2Co crystal at the PBE level of DFT.

a b c (Å): 3.0382 3.0183 7.9988
angles (deg): 67.98 90.00 90.00
With the nearest neighbours (Å) after each atom.
Positions (direct):
Cd1 0.5000 0.2051 0.2940  4 Co 2.81-2.82, 1 Al 2.92, 4 Cd 3.02-3.04
Cd2 0.0000 0.0218 0.9780  8 Cd 3.02-3.18, 4 Al 3.03-3.04, 1 Co 3.24
Al1 0.5000 0.8137 0.6875  4 Co 2.40
Co1 0.0000 0.4595 0.5405  4 Al 2.40

Values from the calculation:
Symmetry ... Pm
Total energy ... -12.784 eV for the cell shown
Volume ... 68 Å³/cell
DOS at the Fermi energy ... 1.6 states/eV/cell
Total moment ... 0.4 μB per formula unit

No. 8
Computed, not measured: a relaxed BaTaBe2 crystal at the PBE level of DFT.

a b c (Å): 3.4434 3.1739 7.7717
angles (deg): 65.64 90.00 90.00
With the nearest neighbours (Å) after each atom.
Positions (direct):
Ta1 0.5000 0.2500 0.2500  8 Be 2.57-2.58
Ba1 0.5000 0.7500 0.7500  4 Ba 3.17-3.44, 8 Be 3.40-3.41, 2 Ta 3.54
Be1 0.0000 0.5986 0.4011  1 Be 2.14
Be2 0.0000 0.9014 0.0989  1 Be 2.14

Values from the calculation:
Excess energy over the best structure of this formula in the dataset ... 0.000 eV per atom
Symmetry ... P2/m
Total energy ... -19.460 eV for the cell shown
Volume ... 77 Å³/cell
DOS at the Fermi energy ... 2.7 states/eV/cell
Total moment ... 0.0 μB per formula unit